MgAlZn3: optimized geometry, PBE.

Summary:
V: 170.3 Å³/cell
ΔE to the lowest computed polymorph: 0.0 meV per atom
Formation energy: -0.022 eV per atom
Total DFT energy (no corrections): -1.854 eV per atom

a b c (Å): 5.244 5.219 6.227
angles (deg): 90.00 92.34 90.00
Space group P2_1/m (No. 11)
Inequivalent atoms, fractional coordinates:
Mg  0.131  0.250  0.374 [2 per cell]
Al  0.083  0.750  0.101 [2 per cell]
Zn  0.356  0.002  0.819 [4 per cell]
Zn  0.364  0.750  0.454 [2 per cell]